Entry 1:
The following is a DFT calculation (GGA-PBE) of an optimized crystal structure of Rb2LiNb2Te2O12.

Cell and atoms, written as POSCAR:
```
Rb2LiNb2Te2O12
1.0
7.468 0.014 0.089
3.726 6.519 0.035
3.563 2.257 6.214
O Rb Nb Te Li
12 2 2 2 1
direct
0.042 0.179 0.073
0.656 0.561 0.063
0.906 0.808 0.929
0.304 0.807 0.937
0.917 0.432 0.303
0.664 0.553 0.668
0.300 0.430 0.308
0.934 0.809 0.312
0.665 0.172 0.050
0.030 0.560 0.693
0.279 0.433 0.930
0.041 0.174 0.677
0.688 0.114 0.599
0.408 0.937 0.420
0.494 0.482 0.958
0.004 0.486 0.486
0.965 0.496 0.001
0.986 0.989 0.994
0.342 0.707 0.214
```

Output
* VASP energy: -6.52 eV per atom
* formation energy (no corrections): -1792 meV per atom
* size of the total moment: 0.00 μB per formula unit
* energy above the most stable polymorph in this dataset: 2 meV/atom
* DOS(E_F): 0.18 states/eV/atom



Entry 2:
The following is a DFT calculation (GGA-PBE) of an optimized crystal structure of Rb2LiNb2Te2O12.

Cell and atoms, written as POSCAR:
```
Rb2LiNb2Te2O12
1.0
0.989 -5.288 5.101
6.745 -2.873 1.101
3.722 1.603 6.322
O Rb Te Li Nb
12 2 2 1 2
direct
0.936 0.308 0.316
0.930 0.930 0.325
0.682 0.682 0.073
0.318 0.318 0.927
0.064 0.692 0.684
0.308 0.936 0.316
0.074 0.673 0.079
0.926 0.327 0.921
0.692 0.064 0.684
0.070 0.070 0.675
0.327 0.926 0.921
0.673 0.074 0.079
0.664 0.664 0.499
0.336 0.336 0.501
0.000 0.000 0.500
0.000 0.000 0.000
0.500 0.500 0.000
0.000 0.500 0.000
0.500 0.000 0.000
```

Output
* VASP energy: -6.49 eV per atom
* formation energy (no corrections): -1763 meV per atom
* size of the total moment: 0.00 μB per formula unit
* energy above the most stable polymorph in this dataset: 30 meV/atom
* DOS(E_F): 0.20 states/eV/atom